Record 1
Here is a relaxed CaBe crystal from Alexandria. Energies are from PBE.

Computed properties:
The formation energy from the elements comes out at 0.484 eV/atom. The raw total energy is -2.380 eV/atom. The symmetry is Fddd (70). Its density of states at the Fermi level is 29.76 states/eV/cell.

a b c (Å): 7.2411 9.3787 11.4133
angles (deg): 90.00 90.00 90.00
Atoms (fractional coordinates):
Be 0.8539 0.5000 0.0000
Be 0.3961 0.7500 0.7500
Be 0.6461 0.0000 0.0000
Be 0.3961 0.2500 0.2500
Be 0.1461 0.5000 0.0000
Be 0.1039 0.2500 0.2500
Be 0.1461 0.0000 0.5000
Be 0.1039 0.7500 0.7500
Be 0.6039 0.7500 0.2500
Be 0.3539 0.0000 0.0000
Be 0.8961 0.2500 0.7500
Be 0.6039 0.2500 0.7500
Be 0.8961 0.7500 0.2500
Be 0.8539 0.0000 0.5000
Be 0.3539 0.5000 0.5000
Be 0.6461 0.5000 0.5000
Ca 0.2500 0.9511 0.2500
Ca 0.0000 0.7989 0.0000
Ca 0.5000 0.7011 0.0000
Ca 0.7500 0.5489 0.7500
Ca 0.2500 0.4511 0.7500
Ca 0.5000 0.7989 0.5000
Ca 0.7500 0.0489 0.2500
Ca 0.5000 0.2989 0.0000
Ca 0.5000 0.2011 0.5000
Ca 0.0000 0.7011 0.5000
Ca 0.7500 0.9511 0.7500
Ca 0.0000 0.2989 0.5000
Ca 0.2500 0.0489 0.7500
Ca 0.0000 0.2011 0.0000
Ca 0.2500 0.5489 0.2500
Ca 0.7500 0.4511 0.2500



Record 2
Here is a relaxed CaBe crystal from Alexandria. Energies are from PBE.

Computed properties:
The formation energy from the elements comes out at 0.592 eV/atom. The raw total energy is -2.272 eV/atom. The symmetry is P4_2/mnm (136). Its density of states at the Fermi level is 6.62 states/eV/cell.

a b c (Å): 5.9131 5.9131 5.7566
angles (deg): 90.00 90.00 90.00
Atoms (fractional coordinates):
Be 0.1275 0.1275 0.5000
Be 0.6275 0.3725 0.0000
Be 0.8725 0.8725 0.5000
Be 0.3725 0.6275 0.0000
Ca 0.1899 0.1899 0.0000
Ca 0.3101 0.6899 0.5000
Ca 0.6899 0.3101 0.5000
Ca 0.8101 0.8101 0.0000



Record 3
Here is a relaxed CaBe13 crystal from Alexandria. Energies are from PBE.

Computed properties:
The formation energy from the elements comes out at -0.100 eV/atom. The raw total energy is -3.703 eV/atom. The symmetry is Fm-3c (226). Its density of states at the Fermi level is 6.74 states/eV/cell.

a b c (Å): 7.2479 7.2479 7.2479
angles (deg): 60.00 60.00 60.00
Atoms (fractional coordinates):
Ca 0.7500 0.7500 0.7500
Ca 0.2500 0.2500 0.2500
Be 0.2123 0.4347 0.7877
Be 0.7123 0.0653 0.2877
Be 0.4347 0.2123 0.5653
Be 0.7123 0.2877 0.9347
Be 0.0653 0.2877 0.7123
Be 0.7877 0.5653 0.2123
Be 0.0653 0.9347 0.2877
Be 0.2123 0.7877 0.5653
Be 0.2877 0.7123 0.0653
Be 0.2877 0.0653 0.9347
Be 0.7877 0.2123 0.4347
Be 0.9347 0.7123 0.2877
Be 0.9347 0.2877 0.0653
Be 0.5653 0.4347 0.2123
Be 0.9347 0.0653 0.7123
Be 0.2877 0.9347 0.7123
Be 0.7877 0.4347 0.5653
Be 0.7123 0.9347 0.0653
Be 0.2123 0.5653 0.4347
Be 0.4347 0.5653 0.7877
Be 0.5000 0.5000 0.5000
Be 0.0000 0.0000 0.0000
Be 0.0653 0.7123 0.9347
Be 0.4347 0.7877 0.2123
Be 0.5653 0.7877 0.4347
Be 0.5653 0.2123 0.7877



Record 4
Here is a relaxed Ca7Be crystal from Alexandria. Energies are from PBE.

Computed properties:
The formation energy from the elements comes out at 0.269 eV/atom. The raw total energy is -1.948 eV/atom. The symmetry is Fm-3m (225). Its density of states at the Fermi level is 12.25 states/eV/cell.

a b c (Å): 7.4982 7.4982 7.4982
angles (deg): 60.00 60.00 60.00
Atoms (fractional coordinates):
Ca 0.5000 0.5000 0.5000
Ca 0.5000 0.0000 0.5000
Ca 0.0000 0.0000 0.5000
Ca 0.0000 0.5000 0.0000
Ca 0.0000 0.5000 0.5000
Ca 0.5000 0.0000 0.0000
Ca 0.5000 0.5000 0.0000
Be 0.0000 0.0000 0.0000



Record 5
Here is a relaxed CaBe crystal from Alexandria. Energies are from PBE.

Computed properties:
The formation energy from the elements comes out at 0.323 eV/atom. The raw total energy is -2.541 eV/atom. The symmetry is P4/m (83). Its density of states at the Fermi level is 10.56 states/eV/cell.

a b c (Å): 10.2258 10.2258 3.9142
angles (deg): 90.00 90.00 90.00
Atoms (fractional coordinates):
Be 0.4570 0.9101 0.5000
Be 0.8838 0.4875 0.0000
Be 0.5125 0.8838 0.0000
Be 0.0899 0.4570 0.5000
Be 0.9101 0.5430 0.5000
Be 0.5430 0.0899 0.5000
Be 0.1162 0.5125 0.0000
Be 0.4875 0.1162 0.0000
Ca 0.6973 0.3387 0.5000
Ca 0.2503 0.9781 0.0000
Ca 0.9781 0.7497 0.0000
Ca 0.0219 0.2503 0.0000
Ca 0.3387 0.3027 0.5000
Ca 0.7497 0.0219 0.0000
Ca 0.6613 0.6973 0.5000
Ca 0.3027 0.6613 0.5000



Record 6
Here is a relaxed Ca3Be crystal from Alexandria. Energies are from PBE.

Computed properties:
The formation energy from the elements comes out at 0.389 eV/atom. The raw total energy is -2.044 eV/atom. The symmetry is Pm-3m (221). Its density of states at the Fermi level is 6.52 states/eV/cell.

a b c (Å): 4.9817 4.9818 4.9843
angles (deg): 90.00 90.00 90.02
Atoms (fractional coordinates):
Ca 0.5000 0.0000 0.5000
Ca 0.0000 0.5000 0.5000
Ca 0.5000 0.5000 0.0000
Be 0.0000 0.0000 0.0000



Record 7
Here is a relaxed Ca3Be crystal from Alexandria. Energies are from PBE.

Computed properties:
The formation energy from the elements comes out at 0.505 eV/atom. The raw total energy is -1.928 eV/atom. The symmetry is R-3m (166). Its density of states at the Fermi level is 3.00 states/eV/cell.

a b c (Å): 6.4549 6.4549 6.4549
angles (deg): 116.47 116.47 116.47
Atoms (fractional coordinates):
Be 0.0000 0.0000 0.0000
Ca 0.0000 0.5000 0.5000
Ca 0.5000 0.0000 0.5000
Ca 0.5000 0.5000 0.0000



Record 8
Here is a relaxed Ca3Be crystal from Alexandria. Energies are from PBE.

Computed properties:
The formation energy from the elements comes out at 0.364 eV/atom. The raw total energy is -2.069 eV/atom. The symmetry is P6_3/mmc (194). Its density of states at the Fermi level is 11.78 states/eV/cell.

a b c (Å): 7.1222 7.1222 5.5402
angles (deg): 90.00 90.00 120.00
Atoms (fractional coordinates):
Ca 0.1752 0.3505 0.7500
Ca 0.3505 0.1752 0.2500
Ca 0.8248 0.1752 0.2500
Ca 0.1752 0.8248 0.7500
Ca 0.6495 0.8248 0.7500
Ca 0.8248 0.6495 0.2500
Be 0.3333 0.6667 0.2500
Be 0.6667 0.3333 0.7500